1.
LaCoO2F: optimized geometry, PBE+U.

Properties
- VASP energy: -5.846 eV/atom
- Volume: 19.2 Å³/atom

Lattice parameters (Å, degrees): 4.582 4.582 4.582 90.00 90.00 90.00
Space group P4/mmm (No. 123)
Unique sites:
1 La 0.000 0.000 0.000 [1 per cell]
2 Co 0.500 0.500 0.500 [1 per cell]
3 O 0.000 0.500 0.000 [2 per cell]
4 F 0.000 0.000 0.500 [1 per cell]



2.
LaCoO2F: optimized geometry, PBE+U.

Properties
- VASP energy: -6.742 eV/atom
- Volume: 12.6 Å³/atom

Lattice parameters (Å, degrees): 4.004 4.004 3.923 90.00 90.00 90.00
Space group P4/mmm (No. 123)
Unique sites:
1 La 0.000 0.000 0.000 [1 per cell]
2 Co 0.500 0.500 0.500 [1 per cell]
3 O 0.000 0.500 0.500 [2 per cell]
4 F 0.500 0.500 0.000 [1 per cell]



3.
LaScCoF2: optimized geometry, PBE+U.

Properties
- VASP energy: -5.264 eV/atom
- Volume: 22.9 Å³/atom

Lattice parameters (Å, degrees): 4.434 4.434 5.822 90.00 90.00 90.00
Space group P4/mmm (No. 123)
Unique sites:
1 La 0.000 0.000 0.000 [1 per cell]
2 Sc 0.500 0.500 0.500 [1 per cell]
3 Co 0.000 0.000 0.500 [1 per cell]
4 F 0.000 0.500 0.000 [2 per cell]



4.
LaCoTe2F: optimized geometry, PBE+U.

Properties
- VASP energy: -4.781 eV/atom
- Volume: 23.8 Å³/atom

Lattice parameters (Å, degrees): 5.351 5.351 4.164 90.00 90.00 90.00
Space group P4/mmm (No. 123)
Unique sites:
1 La 0.000 0.000 0.000 [1 per cell]
2 Co 0.500 0.500 0.500 [1 per cell]
3 Te 0.000 0.500 0.500 [2 per cell]
4 F 0.500 0.500 0.000 [1 per cell]



5.
LaTl2Co3F12: optimized geometry, PBE+U.

Properties
- VASP energy: -5.100 eV/atom
- Volume: 15.5 Å³/atom

Lattice parameters (Å, degrees): 7.6675 7.6675 16.4362 90.00 90.00 120.00
Space group R-3m (No. 166, hexagonal axes)
Unique sites:
1 La 0.0000 0.0000 0.0000 [3 per cell]
2 Tl 0.0000 0.0000 0.3868 [6 per cell]
3 Co 0.0000 0.5000 0.5000 [9 per cell]
4 F 0.0248 0.5124 0.3801 [18 per cell]
5 F 0.0941 0.5470 0.8087 [18 per cell]



6.
La2TlCoF: optimized geometry, PBE+U.

Properties
- VASP energy: -3.683 eV/atom
- Volume: 35.2 Å³/atom

Lattice parameters (Å, degrees): 6.138 6.138 4.670 90.00 90.00 90.00
Space group P4/mmm (No. 123)
Unique sites:
1 La 0.000 0.500 0.000 [2 per cell]
2 Tl 0.000 0.000 0.000 [1 per cell]
3 Co 0.500 0.500 0.500 [1 per cell]
4 F 0.000 0.000 0.500 [1 per cell]



7.
LaCoW2F: optimized geometry, PBE+U.

Properties
- VASP energy: -4.083 eV/atom
- Volume: 32.5 Å³/atom

Lattice parameters (Å, degrees): 6.059 6.059 4.433 90.00 90.00 90.00
Space group P4/mmm (No. 123)
Unique sites:
1 La 0.000 0.000 0.000 [1 per cell]
2 Co 0.500 0.500 0.500 [1 per cell]
3 W 0.000 0.500 0.000 [2 per cell]
4 F 0.000 0.000 0.500 [1 per cell]



8.
LaZn2CoF: optimized geometry, PBE+U.

Properties
- VASP energy: -2.978 eV/atom
- Volume: 32.1 Å³/atom

Lattice parameters (Å, degrees): 5.991 5.991 4.475 90.00 90.00 90.00
Space group P4/mmm (No. 123)
Unique sites:
1 La 0.000 0.000 0.000 [1 per cell]
2 Zn 0.000 0.500 0.000 [2 per cell]
3 Co 0.500 0.500 0.500 [1 per cell]
4 F 0.000 0.000 0.500 [1 per cell]